Entry from Alexandria: a relaxed MgTaCd2 crystal (PBE).

Unit cell a=6.1261 b=6.1261 c=6.1261 alpha=152.91 beta=127.02 gamma=60.50
Fractional coordinates of all 4 atoms:
Ta1 0.2500 0.7500 0.5000
Mg1 0.7500 0.2500 0.5000
Cd1 0.0002 0.0002 0.0000
Cd2 0.4998 0.4998 0.0000

Calculated values
Total moment ... 0.000 μB per atom
E_form ... 379 meV/atom

---

Entry from Alexandria: a relaxed MgTaCd3 crystal (PBE).

Unit cell a=4.9317 b=4.9317 c=4.9317 alpha=90.00 beta=90.00 gamma=90.00
Fractional coordinates of all 5 atoms:
Cd1 0.5000 0.0000 0.0000
Cd2 0.0000 0.0000 0.5000
Cd3 0.0000 0.5000 0.0000
Ta1 0.5000 0.5000 0.5000
Mg1 0.0000 0.0000 0.0000

Calculated values
Total moment ... 0.068 μB per atom
E_form ... 1265 meV/atom

---

Entry from Alexandria: a relaxed Mg2TaCd crystal (PBE).

Unit cell a=10.4316 b=10.4316 c=10.4316 alpha=16.69 beta=16.69 gamma=16.69
Fractional coordinates of all 4 atoms:
Cd1 0.7500 0.7500 0.7500
Ta1 0.2500 0.2500 0.2500
Mg1 0.5031 0.5031 0.5031
Mg2 0.9969 0.9969 0.9969

Calculated values
Total moment ... 0.000 μB per atom
E_form ... 183 meV/atom

---

Entry from Alexandria: a relaxed Mg2TaCd crystal (PBE).

Unit cell a=4.2845 b=4.2565 c=4.2708 alpha=90.00 beta=90.00 gamma=90.00
Fractional coordinates of all 4 atoms:
Cd1 0.0000 0.5000 0.5000
Mg1 0.0000 0.0000 0.0000
Mg2 0.5000 0.5000 0.0000
Ta1 0.5000 0.0000 0.5000

Calculated values
Total moment ... 0.000 μB per atom
E_form ... 272 meV/atom

---

Entry from Alexandria: a relaxed MgTaCd2 crystal (PBE).

Unit cell a=7.6094 b=7.6094 c=6.1520 alpha=51.80 beta=51.80 gamma=90.00
Fractional coordinates of all 8 atoms:
Cd1 0.8750 0.8670 0.7500
Cd2 0.6170 0.1250 0.2500
Cd3 0.1330 0.6250 0.2500
Cd4 0.3750 0.3830 0.7500
Mg1 0.5000 0.5000 0.0000
Mg2 0.2500 0.7500 0.5000
Ta1 0.7500 0.2500 0.5000
Ta2 0.0000 0.0000 0.0000

Calculated values
Total moment ... 0.220 μB per atom
E_form ... 695 meV/atom

---

Entry from Alexandria: a relaxed MgTa2Cd crystal (PBE).

Unit cell a=4.7409 b=4.7409 c=4.7409 alpha=60.00 beta=60.00 gamma=60.00
Fractional coordinates of all 4 atoms:
Mg1 0.0000 0.0000 0.0000
Ta1 0.2500 0.2500 0.2500
Ta2 0.7500 0.7500 0.7500
Cd1 0.5000 0.5000 0.5000

Calculated values
Total moment ... 0.000 μB per atom
E_form ... 664 meV/atom

---

What is the formula in the sixth record?
MgTa2Cd